No. 1
TiHgS2: optimized geometry, PBE.

Computed properties:
**Mass density**: 4473 kg/m³
**Uncorrected formation energy**: -2.5 eV per formula unit

Unit cell a=3.813 b=3.813 c=9.217 alpha=90.00 beta=90.00 gamma=120.00
Sites, in units of the cell vectors:
Ti1 0.000 0.000 0.000
Hg1 0.667 0.333 0.516
S1 0.000 0.000 0.226
S2 0.333 0.667 0.897

=====

No. 2
TiHgS2: optimized geometry, PBE.

Computed properties:
**Mass density**: 4729 kg/m³
**Uncorrected formation energy**: -3.1 eV per formula unit

Unit cell a=6.606 b=6.606 c=6.248 alpha=95.93 beta=95.93 gamma=124.34
Sites, in units of the cell vectors:
Ti1 0.022 0.978 0.500
Ti2 0.978 0.022 0.000
Hg1 0.149 0.515 0.903
Hg2 0.515 0.149 0.403
S1 0.040 0.278 0.345
S2 0.278 0.040 0.845
S3 0.689 0.857 0.688
S4 0.857 0.689 0.188

=====

No. 3
TiHg3S: optimized geometry, PBE.

Computed properties:
**Mass density**: 7191 kg/m³
**ΔE to the lowest computed polymorph**: 0.000 eV/atom
**Uncorrected formation energy**: 3.7 eV per formula unit

Unit cell a=5.399 b=5.399 c=5.399 alpha=90.00 beta=90.00 gamma=90.00
Sites, in units of the cell vectors:
Ti1 0.000 0.000 0.000
Hg1 0.000 0.000 0.500
Hg2 0.000 0.500 0.000
Hg3 0.500 0.000 0.000
S1 0.500 0.500 0.500

=====

No. 4
TiHgS2: optimized geometry, PBE.

Computed properties:
**Mass density**: 5657 kg/m³
**Uncorrected formation energy**: -3.1 eV per formula unit

Unit cell a=7.238 b=4.772 c=10.627 alpha=90.00 beta=90.00 gamma=90.00
Sites, in units of the cell vectors:
Ti1 0.021 0.250 0.115
Ti2 0.479 0.750 0.615
Ti3 0.521 0.250 0.385
Ti4 0.979 0.750 0.885
Hg1 0.103 0.750 0.457
Hg2 0.397 0.250 0.957
Hg3 0.603 0.750 0.043
Hg4 0.897 0.250 0.543
S1 0.071 0.750 0.100
S2 0.248 0.750 0.780
S3 0.252 0.250 0.280
S4 0.429 0.250 0.600
S5 0.571 0.750 0.400
S6 0.748 0.750 0.720
S7 0.752 0.250 0.220
S8 0.929 0.250 0.900

=====

No. 5
TiHgS2: optimized geometry, PBE.

Computed properties:
**Mass density**: 6425 kg/m³
**Uncorrected formation energy**: -3.2 eV per formula unit

Unit cell a=13.708 b=13.708 c=3.672 alpha=90.00 beta=90.00 gamma=166.46
Sites, in units of the cell vectors:
Ti1 0.187 0.813 0.750
Ti2 0.813 0.187 0.250
Hg1 0.456 0.544 0.750
Hg2 0.544 0.456 0.250
S1 0.284 0.716 0.750
S2 0.377 0.623 0.250
S3 0.623 0.377 0.750
S4 0.716 0.284 0.250

=====

No. 6
TiHgS2: optimized geometry, PBE.

Computed properties:
**Mass density**: 5611 kg/m³
**Uncorrected formation energy**: -3.9 eV per formula unit

Unit cell a=3.403 b=5.902 c=9.734 alpha=106.19 beta=99.44 gamma=90.00
Sites, in units of the cell vectors:
Ti1 0.000 0.000 0.000
Ti2 0.499 0.501 0.000
Hg1 0.254 0.000 0.498
Hg2 0.254 0.501 0.502
S1 0.073 0.405 0.155
S2 0.427 0.096 0.845
S3 0.573 0.906 0.156
S4 0.927 0.596 0.844

=====

No. 7
TiHgS2: optimized geometry, PBE.

Computed properties:
**Mass density**: 5594 kg/m³
**Uncorrected formation energy**: -3.8 eV per formula unit

Unit cell a=3.398 b=3.398 c=9.279 alpha=90.00 beta=90.00 gamma=120.00
Sites, in units of the cell vectors:
Ti1 0.000 0.000 0.000
Hg1 0.333 0.667 0.490
S1 0.333 0.667 0.846
S2 0.667 0.333 0.154

=====

No. 8
Ti2HgS2: optimized geometry, PBE.

Computed properties:
**Mass density**: 6233 kg/m³
**Uncorrected formation energy**: -3.0 eV per formula unit

Unit cell a=6.036 b=6.036 c=6.036 alpha=138.37 beta=138.37 gamma=60.34
Sites, in units of the cell vectors:
Ti1 0.135 0.135 0.000
Ti2 0.865 0.865 0.000
Hg1 0.500 0.500 0.000
S1 0.250 0.750 0.500
S2 0.750 0.250 0.500

=====

No. 9
TiHgS2: optimized geometry, PBE.

Computed properties:
**Mass density**: 5481 kg/m³
**Uncorrected formation energy**: -3.8 eV per formula unit

Unit cell a=3.396 b=3.396 c=18.959 alpha=90.00 beta=90.00 gamma=120.00
Sites, in units of the cell vectors:
Ti1 0.000 0.000 0.000
Ti2 0.000 0.000 0.500
Hg1 0.333 0.667 0.250
Hg2 0.667 0.333 0.750
S1 0.333 0.667 0.075
S2 0.333 0.667 0.425
S3 0.667 0.333 0.575
S4 0.667 0.333 0.925

=====

No. 10
TiHgS2: optimized geometry, PBE.

Computed properties:
**Mass density**: 4152 kg/m³
**Uncorrected formation energy**: -2.8 eV per formula unit

Unit cell a=7.076 b=7.076 c=7.076 alpha=120.12 beta=120.12 gamma=89.79
Sites, in units of the cell vectors:
Ti1 0.000 0.000 0.000
Ti2 0.750 0.250 0.500
Hg1 0.250 0.750 0.500
Hg2 0.500 0.500 0.000
S1 0.375 0.220 0.345
S2 0.780 0.125 0.155
S3 0.875 0.030 0.655
S4 0.970 0.625 0.845

=====

No. 11
TiHgS2: optimized geometry, PBE.

Computed properties:
**Mass density**: 3960 kg/m³
**Uncorrected formation energy**: -3.1 eV per formula unit

Unit cell a=7.230 b=7.230 c=7.230 alpha=100.25 beta=100.25 gamma=130.09
Sites, in units of the cell vectors:
Ti1 0.250 0.750 0.500
Ti2 0.750 0.250 0.500
Hg1 0.250 0.250 0.000
Hg2 0.750 0.750 0.000
S1 0.130 0.630 0.760
S2 0.370 0.130 0.500
S3 0.630 0.870 0.500
S4 0.870 0.370 0.240

=====

No. 12
TiHgS2: optimized geometry, PBE.

Computed properties:
**Mass density**: 4807 kg/m³
**Uncorrected formation energy**: -3.3 eV per formula unit

Unit cell a=9.312 b=3.324 c=13.954 alpha=90.00 beta=90.00 gamma=90.00
Sites, in units of the cell vectors:
Ti1 0.045 0.250 0.095
Ti2 0.455 0.750 0.595
Ti3 0.545 0.250 0.405
Ti4 0.955 0.750 0.905
Hg1 0.006 0.250 0.605
Hg2 0.494 0.750 0.105
Hg3 0.506 0.250 0.895
Hg4 0.994 0.750 0.395
S1 0.143 0.250 0.943
S2 0.159 0.750 0.183
S3 0.341 0.250 0.683
S4 0.357 0.750 0.443
S5 0.643 0.250 0.557
S6 0.659 0.750 0.317
S7 0.841 0.250 0.817
S8 0.857 0.750 0.057

=====

No. 13
TiHgS2: optimized geometry, PBE.

Computed properties:
**Mass density**: 6651 kg/m³
**Uncorrected formation energy**: -1.7 eV per formula unit

Unit cell a=3.742 b=3.742 c=5.575 alpha=90.00 beta=90.00 gamma=90.00
Sites, in units of the cell vectors:
Ti1 0.000 0.000 0.000
Hg1 0.500 0.500 0.500
S1 0.000 0.000 0.500
S2 0.500 0.500 0.000

=====

No. 14
TiHgS2: optimized geometry, PBE.

Computed properties:
**Mass density**: 4974 kg/m³
**Uncorrected formation energy**: -2.3 eV per formula unit

Unit cell a=9.250 b=3.623 c=14.057 alpha=90.00 beta=117.63 gamma=90.00
Sites, in units of the cell vectors:
Ti1 0.202 0.249 0.260
Ti2 0.202 0.251 0.760
Ti3 0.798 0.749 0.240
Ti4 0.798 0.751 0.740
Hg1 0.050 0.249 0.399
Hg2 0.050 0.251 0.899
Hg3 0.950 0.749 0.101
Hg4 0.950 0.751 0.601
S1 0.223 0.249 0.110
S2 0.223 0.251 0.610
S3 0.343 0.749 0.361
S4 0.343 0.751 0.861
S5 0.657 0.249 0.139
S6 0.657 0.251 0.639
S7 0.777 0.749 0.390
S8 0.777 0.751 0.890

=====

No. 15
Ti2HgS: optimized geometry, PBE.

Computed properties:
**Mass density**: 8043 kg/m³
**ΔE to the lowest computed polymorph**: 0.567 eV/atom
**Uncorrected formation energy**: -0.6 eV per formula unit

Unit cell a=4.577 b=4.577 c=4.577 alpha=60.00 beta=60.00 gamma=60.00
Sites, in units of the cell vectors:
Ti1 0.250 0.250 0.250
Ti2 0.750 0.750 0.750
Hg1 0.000 0.000 0.000
S1 0.500 0.500 0.500

=====

No. 16
TiHgS2: optimized geometry, PBE.

Computed properties:
**Mass density**: 3624 kg/m³
**Uncorrected formation energy**: -3.1 eV per formula unit

Unit cell a=8.320 b=8.320 c=6.176 alpha=101.28 beta=101.28 gamma=130.66
Sites, in units of the cell vectors:
Ti1 0.002 0.998 0.750
Ti2 0.998 0.002 0.250
Hg1 0.296 0.704 0.250
Hg2 0.704 0.296 0.750
S1 0.109 0.270 0.605
S2 0.270 0.109 0.105
S3 0.730 0.891 0.895
S4 0.891 0.730 0.395

=====

No. 17
TiHgS2: optimized geometry, PBE.

Computed properties:
**Mass density**: 5090 kg/m³
**Uncorrected formation energy**: -3.1 eV per formula unit

Unit cell a=6.392 b=6.392 c=6.200 alpha=113.24 beta=113.24 gamma=65.81
Sites, in units of the cell vectors:
Ti1 0.061 0.939 0.750
Ti2 0.939 0.061 0.250
Hg1 0.486 0.514 0.750
Hg2 0.514 0.486 0.250
S1 0.011 0.277 0.671
S2 0.277 0.011 0.171
S3 0.723 0.989 0.829
S4 0.989 0.723 0.329

=====

No. 18
Ti2HgS: optimized geometry, PBE.

Computed properties:
**Mass density**: 7671 kg/m³
**ΔE to the lowest computed polymorph**: 0.025 eV/atom
**Uncorrected formation energy**: -2.8 eV per formula unit

Unit cell a=7.312 b=7.312 c=7.312 alpha=27.00 beta=27.00 gamma=27.00
Sites, in units of the cell vectors:
Ti1 0.000 0.000 0.000
Ti2 0.212 0.212 0.212
Hg1 0.438 0.438 0.438
S1 0.606 0.606 0.606

=====

No. 19
TiHgS2: optimized geometry, PBE.

Computed properties:
**Mass density**: 5602 kg/m³
**Uncorrected formation energy**: -3.9 eV per formula unit

Unit cell a=3.405 b=5.899 c=9.391 alpha=86.66 beta=79.78 gamma=90.00
Sites, in units of the cell vectors:
Ti1 0.000 0.000 0.000
Ti2 0.500 0.499 0.000
Hg1 0.155 0.249 0.500
Hg2 0.168 0.749 0.500
S1 0.076 0.680 0.845
S2 0.425 0.819 0.154
S3 0.577 0.181 0.844
S4 0.924 0.318 0.156

=====

No. 20
TiHgS2: optimized geometry, PBE.

Computed properties:
**Mass density**: 4302 kg/m³
**Uncorrected formation energy**: -2.5 eV per formula unit

Unit cell a=9.850 b=9.850 c=9.850 alpha=22.30 beta=22.30 gamma=22.30
Sites, in units of the cell vectors:
Ti1 0.000 0.000 0.000
Hg1 0.497 0.497 0.497
S1 0.072 0.072 0.072
S2 0.634 0.634 0.634